[1]
Material: K3DyY3Te8
Method: DFT, GGA-PBE
State: optimized geometry

- Formation energy without anion corrections: -1333 meV/atom

Cell: 8.7863 8.7863 25.5378 Å, 90.00 90.00 120.00°
Space group R-3m (No. 166, hexagonal axes)
Inequivalent atoms, fractional coordinates:
K: 0.0000 0.5000 0.0000
Dy: 0.0000 0.0000 0.5000
Y: 0.0000 0.5000 0.5000
Te: 0.0000 0.0000 0.2365
Te: 0.0018 0.5009 0.7639


[2]
Material: CeZnH
Method: DFT, GGA-PBE
State: optimized geometry

- Energy above the most stable polymorph in this dataset: 0 meV/atom

Cell: 3.4886 3.4886 8.3685 Å, 90.00 90.00 90.00°
Space group P4/nmm (No. 129, origin choice 2)
Inequivalent atoms, fractional coordinates:
Ce: 0.2500 0.2500 0.1777
Zn: 0.2500 0.2500 0.5753
H: 0.2500 0.7500 0.0000


[3]
Material: ZrPbIN2
Method: DFT, GGA-PBE
State: optimized geometry

- Energy above the most stable polymorph in this dataset: 0 meV/atom
- Formation energy without anion corrections: 336 meV/atom

Cell: 4.3930 4.3930 5.8098 Å, 90.00 90.00 90.00°
Space group P4/mmm (No. 123)
Inequivalent atoms, fractional coordinates:
Zr: 0.0000 0.0000 0.0000
Pb: 0.5000 0.5000 0.5000
I: 0.0000 0.0000 0.5000
N: 0.0000 0.5000 0.0000


[4]
Material: Mn5Al8
Method: DFT, GGA-PBE
State: optimized geometry

- Energy above the most stable polymorph in this dataset: 0 meV/atom
- ΔH_f (0 K): -22 kJ per mole of atoms

Cell: 8.9778 8.9778 8.9778 Å, 90.00 90.00 90.00°
Space group I-43m (No. 217)
Inequivalent atoms, fractional coordinates:
Mn: 0.0000 0.0000 0.3534
Mn: 0.1754 0.1754 0.1754
Al: 0.0319 0.3140 0.6860
Al: 0.1077 0.1077 0.8923